TcSn3Cl: optimized geometry, PBE.

Values from the calculation:
ρ: 5.92 g cm⁻³
Excess energy over the best structure of this formula in the dataset: 0.000 eV/atom
Total magnetic moment: 0.00 μB per formula unit
SG: No. 221
Formation energy (no corrections): -0.269 eV/atom

abc: 5.159 5.159 5.159
angles: 90.00 90.00 90.00
Fractional coordinates of all 5 atoms:
Tc: 0.000 0.000 0.000
Sn: 0.000 0.000 0.500
Sn: 0.000 0.500 0.000
Sn: 0.500 0.000 0.000
Cl: 0.500 0.500 0.500